Entry from Alexandria via LeMat-Bulk: a relaxed structure of TlOsPb2 (PBE).

The structure belongs to space group Pm (No. 6); the cell edges are 3.487, 4.031 and 7.499 Å and the angles 90.00°, 103.42° and 90.00°. Symmetry generates all atoms from Tl at (0.000, 0.000, 0.000), Os at (0.140, 0.500, 0.285), Pb at (0.350, 0.500, 0.704) and Pb at (0.700, 0.000, 0.405).

For the formation energy from the elements, the calculation gives 0.684 eV/atom. Its energy relative to the lowest polymorph listed for this composition is 214 meV/atom.

=====

Entry from Alexandria via LeMat-Bulk: a relaxed structure of K2CaPb2 (PBE).

The structure belongs to space group I4/mmm (No. 139); the cell edges are 4.870, 4.870 and 16.249 Å and the angles 90.00°, 90.00° and 90.00°. Symmetry generates all atoms from K at (0.000, 0.500, 0.250), Ca at (0.000, 0.000, 0.000) and Pb at (0.000, 0.000, 0.411).

For the formation energy from the elements, the calculation gives -0.095 eV/atom. Its energy relative to the lowest polymorph listed for this composition is 23 meV/atom.

=====

Entry from Alexandria via LeMat-Bulk: a relaxed structure of CaZnAu4 (PBE).

The structure belongs to space group F-43m (No. 216); the cell edges are 7.898, 7.898 and 7.898 Å and the angles 90.00°, 90.00° and 90.00°. Symmetry generates all atoms from Ca at (0.000, 0.000, 0.000), Zn at (0.250, 0.250, 0.750) and Au at (0.125, 0.125, 0.375).

For the formation energy from the elements, the calculation gives -0.337 eV/atom. Its energy relative to the lowest polymorph listed for this composition is 81 meV/atom.

=====

Entry from Alexandria via LeMat-Bulk: a relaxed structure of DyHo2Os (PBE).

The structure belongs to space group R-3m (No. 166, hexagonal axes); the cell edges are 3.4200, 3.4200 and 32.5191 Å and the angles 90.00°, 90.00° and 120.00°. Symmetry generates all atoms from Dy at (0.0000, 0.0000, 0.0000), Ho at (0.0000, 0.0000, 0.1052) and Os at (0.0000, 0.0000, 0.5000).

For the formation energy from the elements, the calculation gives 0.262 eV/atom. Its energy relative to the lowest polymorph listed for this composition is 533 meV/atom.